[1]
Entry from the Alexandria database: an optimized crystal structure of MgAgHg2 (GGA-PBE).

Structure (POSCAR):
```
MgAgHg2
1.0
6.503 0.000 0.000
0.000 6.503 0.000
0.000 0.000 12.742
Mg Ag Hg
4 4 8
Direct
0.000 0.000 0.000
0.000 0.500 0.250
0.500 0.000 0.750
0.500 0.500 0.500
0.000 0.000 0.500
0.000 0.500 0.750
0.500 0.000 0.250
0.500 0.500 0.000
0.248 0.250 0.625
0.250 0.748 0.875
0.250 0.752 0.375
0.252 0.250 0.125
0.748 0.750 0.125
0.750 0.248 0.375
0.750 0.252 0.875
0.752 0.750 0.625
```

Values from the calculation:
SG: No. 122
Calculated formation energy in eV per atom: 0.2853


[2]
Entry from the Alexandria database: an optimized crystal structure of Mg4AgHg (GGA-PBE).

Structure (POSCAR):
```
Mg4AgHg
1.0
10.500 0.000 0.000
0.000 3.327 0.000
-2.726 0.000 7.112
Mg Ag Hg
8 2 2
Direct
0.154 0.000 0.337
0.159 0.000 0.819
0.341 0.500 0.181
0.346 0.500 0.663
0.654 0.500 0.337
0.659 0.500 0.819
0.841 0.000 0.181
0.846 0.000 0.663
0.000 0.500 0.500
0.500 0.000 0.500
0.000 0.500 0.000
0.500 0.000 0.000
```

Values from the calculation:
SG: No. 12
Calculated formation energy in eV per atom: -0.1477
Excess energy over the best structure of this formula in the dataset in eV/atom: 0.000


[3]
Entry from the Alexandria database: an optimized crystal structure of MgAg2Hg (GGA-PBE).

Structure (POSCAR):
```
MgAg2Hg
1.0
4.256 0.000 0.000
0.000 4.256 0.000
0.000 0.000 4.228
Mg Ag Hg
1 2 1
Direct
0.000 0.000 0.000
0.000 0.500 0.500
0.500 0.000 0.500
0.500 0.500 0.000
```

Values from the calculation:
SG: No. 123
Calculated formation energy in eV per atom: -0.1130